Record 1
This record from Alexandria describes BaRh3 at its PBEsol-relaxed geometry. The functional is meta-GGA SCAN.

It has space group I4/mmm (No. 139), with a = 4.2447 Å, b = 4.2447 Å, c = 7.9896 Å, α = 90.00°, β = 90.00° and γ = 90.00°. The asymmetric unit holds Ba at (0.0000, 0.0000, 0.0000), Rh at (0.0000, 0.0000, 0.5000) and Rh at (0.0000, 0.5000, 0.2500).

The value obtained for the total DFT energy (no corrections) is -34.611 eV/atom. For the energy relative to the elements, the calculation gives 2.42 eV per formula unit.

Record 2
This record from Alexandria describes KIrW2 at its PBEsol-relaxed geometry. The functional is meta-GGA SCAN.

It has space group Cmmm (No. 65), with a = 5.3911 Å, b = 9.4301 Å, c = 2.6804 Å, α = 90.00°, β = 90.00° and γ = 90.00°. The asymmetric unit holds K at (0.0000, 0.0000, 0.0000), Ir at (0.0000, 0.5000, 0.0000) and W at (0.2500, 0.2500, 0.5000).

The value obtained for the total DFT energy (no corrections) is -53.200 eV/atom. The calculation puts the energy above the lowest structure with this stoichiometry at 0.7457 eV/atom. For the energy relative to the elements, the calculation gives 6.00 eV per formula unit.

Record 3
This record from Alexandria describes CrCuNi at its PBEsol-relaxed geometry. The functional is meta-GGA SCAN.

It has space group P3m1 (No. 156), with a = 2.4694 Å, b = 2.4694 Å, c = 6.2156 Å, α = 90.00°, β = 90.00° and γ = 120.00°. The asymmetric unit holds Cr at (0.0000, 0.0000, 0.0000), Cu at (0.3333, 0.6667, 0.6529) and Ni at (0.6667, 0.3333, 0.3170).

The value obtained for the total DFT energy (no corrections) is -16.369 eV/atom. For the energy relative to the elements, the calculation gives 0.65 eV per formula unit.

Number 2 is which compound?
KIrW2